## YWN (PBE-GGA)

Data for a geometry-optimized YWN structure.

a = 8.1921 Å, b = 8.1921 Å, c = 3.0956 Å
α = 90.00°, β = 90.00°, γ = 90.00°
Space group P4_2/m (No. 84)
Asymmetric unit:
Y: 0.0697 0.7102 0.0000 x4
W: 0.3115 0.4142 0.0000 x4
N: 0.1946 0.5469 0.5000 x4

Values from the calculation:
uncorrected energy: -9.63 eV per atom
volume: 17.31 Å³ per atom
uncorrected formation energy: -1.13 eV/f.u.